Record 1
An optimized crystal structure of Nd4CuOsCl2. Source: the Alexandria database, functional GGA-PBE.

Calculated values
- Space group: P2/m, No. 10

Cell: 4.1452 7.0579 7.9133 Å, 107.35 90.00 90.00°
With the nearest neighbours (Å) after each atom.
Element x y z (fractional)
Nd 0.0000 0.7296 0.2073  2 Os 2.83, 1 Cu 2.86
Nd 0.5000 0.7530 0.7917  1 Os 2.77, 2 Cu 2.89
Cl 0.0000 0.5000 0.5000  6 Nd 3.20-3.22
Os 0.5000 0.5000 0.0000  6 Nd 2.77-2.83
Nd 0.0000 0.2704 0.7927  2 Os 2.83, 1 Cu 2.86
Nd 0.5000 0.2470 0.2083  1 Os 2.77, 2 Cu 2.89
Cl 0.5000 0.0000 0.5000  6 Nd 3.27-3.28
Cu 0.0000 0.0000 0.0000  6 Nd 2.86-2.89


Record 2
An optimized crystal structure of NdCuPCl. Source: the Alexandria database, functional GGA-PBE.

Calculated values
- Space group: R-3m, No. 166

Cell: 4.0489 4.0489 13.3258 Å, 81.26 81.26 60.00°
With the nearest neighbours (Å) after each atom.
Element x y z (fractional)
P 0.1284 0.1284 0.6147  4 Cu 2.41
Cu 0.1896 0.1896 0.4311  4 P 2.41
Cl 0.2894 0.2894 0.1317  3 Nd 2.90
P 0.8716 0.8716 0.3853  4 Cu 2.41
Nd 0.5791 0.5791 0.2627  3 P 2.84, 3 Cl 2.90
Cu 0.8104 0.8104 0.5689  4 P 2.41
Cl 0.7106 0.7106 0.8683  3 Nd 2.90
Nd 0.4209 0.4209 0.7373  3 P 2.84, 3 Cl 2.90


Record 3
An optimized crystal structure of Rb3NdCu2Cl9. Source: the Alexandria database, functional GGA-PBE.

Calculated values
- Space group: P-3m1, No. 164

Cell: 7.2730 7.2730 9.0558 Å, 90.00 90.00 120.00°
With the nearest neighbours (Å) after each atom.
Element x y z (fractional)
Cl 0.5000 0.0000 0.0000  2 Cu 2.43
Cl 0.8261 0.6522 0.6775  1 Cu 2.62, 1 Nd 2.72
Cl 0.3478 0.1739 0.6775  1 Cu 2.62, 1 Nd 2.72
Rb 0.6667 0.3333 0.3078  12 Cl 3.49-3.90
Rb 0.3333 0.6667 0.6922  12 Cl 3.49-3.90
Nd 0.0000 0.0000 0.5000  6 Cl 2.72
Cl 0.6522 0.8261 0.3225  1 Cu 2.62, 1 Nd 2.72
Cl 0.8261 0.1739 0.6775  1 Cu 2.62, 1 Nd 2.72
Cu 0.6667 0.3333 0.8638  6 Cl 2.43-2.62
Cl 0.5000 0.5000 0.0000  2 Cu 2.43
Rb 0.0000 0.0000 0.0000  12 Cl 3.64-3.65
Cl 0.1739 0.3478 0.3225  1 Cu 2.62, 1 Nd 2.72
Cu 0.3333 0.6667 0.1362  6 Cl 2.43-2.62
Cl 0.1739 0.8261 0.3225  1 Cu 2.62, 1 Nd 2.72
Cl 0.0000 0.5000 0.0000  2 Cu 2.43


Record 4
An optimized crystal structure of RbNdCu2Cl8. Source: the Alexandria database, functional GGA-PBE.

Calculated values
- Space group: I-4, No. 82

Cell: 6.5889 6.5889 8.7700 Å, 112.06 112.06 90.00°
With the nearest neighbours (Å) after each atom.
Element x y z (fractional)
Nd 0.7500 0.2500 0.5000  8 Cl 2.82-2.99
Cu 0.5000 0.5000 0.0000  4 Cl 2.29
Cl 0.6786 0.2994 0.8280  1 Cu 2.29
Cl 0.3521 0.9658 0.3824  1 Cu 2.27
Cl 0.0342 0.9697 0.6176  1 Cu 2.27
Rb 0.0000 0.0000 0.0000  8 Cl 3.24-3.38
Cu 0.2500 0.7500 0.5000  4 Cl 2.27
Cl 0.4713 0.3214 0.1720  1 Cu 2.29
Cl 0.0303 0.4165 0.3824  1 Cu 2.27
Cl 0.5835 0.6479 0.6176  1 Cu 2.27
Cl 0.7006 0.8506 0.1720  1 Cu 2.29
Cl 0.1494 0.5287 0.8280  1 Cu 2.29


Taking the records one at a time from the top gives density values of 6.78, 4.89, 3.39, 3.30 Mg/m³.
Taking the records one at a time from the top gives DFT total energy values of -44.5, -21.4, -55.6, -43.8 eV per formula unit.
Taking the records one at a time from the top gives calculated volume values of 220.99, 186.26, 414.84, 322.57 Å³ per cell.